Version 1
First-principles (PBE) data for a geometry-optimized SbAuBr2 structure, as listed in Alexandria.

abc: 3.4298 4.1971 6.9084
angles: 90.00 90.00 90.00
With the nearest neighbours (Å) after each atom.
Space group Pmmm (No. 47)
Unique sites:
Sb: 0.0000 0.0000 0.0000 x1  8 Br 3.22, 2 Sb 3.43, 2 Au 3.45
Au: 0.0000 0.0000 0.5000 x1  8 Br 3.21, 2 Au 3.43, 2 Sb 3.45
Br: 0.5000 0.5000 0.2506 x2  4 Au 3.21, 4 Sb 3.22, 4 Br 3.43-3.46



Version 2
First-principles (PBE) data for a geometry-optimized SbAuBr2 structure, as listed in Alexandria.

abc: 3.8520 6.2366 6.5941
angles: 99.17 106.71 90.86
With the nearest neighbours (Å) after each atom.
Space group P1 (No. 1)
Unique sites:
Sb: 0.0000 0.0000 0.0000 x1  1 Br 2.56, 2 Au 2.68
Au: 0.6432 0.1410 0.2841 x1  2 Br 2.65, 2 Sb 2.68
Br: 0.0390 0.6195 0.1023 x1  1 Sb 2.56
Br: 0.2860 0.2607 0.5682 x1  2 Au 2.65



Version 3
First-principles (PBE) data for a geometry-optimized SbAuBr2 structure, as listed in Alexandria.

abc: 3.6267 3.6267 29.2143
angles: 90.00 90.00 120.00
With the nearest neighbours (Å) after each atom.
Space group R-3m (No. 166, hexagonal axes)
Unique sites:
Sb: 0.0000 0.0000 0.0000 x3  6 Br 3.18
Au: 0.0000 0.0000 0.5000 x3  2 Br 2.47
Br: 0.0000 0.0000 0.4153 x6  1 Au 2.47



Version 4
First-principles (PBE) data for a geometry-optimized SbAuBr2 structure, as listed in Alexandria.

abc: 7.3304 7.3304 7.3304
angles: 90.00 90.00 90.00
With the nearest neighbours (Å) after each atom.
Space group Fm-3m (No. 225)
Unique sites:
Sb: 0.0000 0.0000 0.0000 x4  8 Br 3.17
Au: 0.0000 0.0000 0.5000 x4  8 Br 3.17
Br: 0.2500 0.2500 0.2500 x8  4 Sb 3.17, 4 Au 3.17



Most stable structure - version 2; separation to the second - 34.7 kJ/mol of atoms.



Version 1
First-principles (PBE) data for a geometry-optimized SbAuBr2 structure, as listed in Alexandria.

abc: 3.6702 3.6702 26.5257
angles: 90.00 90.00 120.00
With the nearest neighbours (Å) after each atom.
Space group R-3m (No. 166, hexagonal axes)
Unique sites:
Sb: 0.0000 0.0000 0.0000 x3  6 Br 3.28, 6 Sb 3.67
Au: 0.0000 0.0000 0.5000 x3  6 Br 2.86
Br: 0.0000 0.0000 0.2388 x6  3 Au 2.86



Version 2
First-principles (PBE) data for a geometry-optimized SbAuBr2 structure, as listed in Alexandria.

abc: 3.4133 4.3536 7.6026
angles: 90.00 90.39 90.00
With the nearest neighbours (Å) after each atom.
Space group P2/m (No. 10)
Unique sites:
Sb: 0.0000 0.0000 0.0000 x1  4 Br 2.91
Au: 0.0000 0.0000 0.5000 x1  4 Br 2.87
Br: 0.0021 0.5000 0.2537 x2  2 Au 2.87, 2 Sb 2.91



Most stable structure - version 2; separation to the second - 11.3 kJ/mol of atoms.



Version 1
First-principles (PBE) data for a geometry-optimized SbAu2Br structure, as listed in Alexandria.

abc: 5.8479 8.1054 5.0050
angles: 90.00 125.49 90.00
With the nearest neighbours (Å) after each atom.
Space group C2/m (No. 12)
Unique sites:
Sb: 0.0000 0.0000 0.0000 x2  4 Au 2.87, 2 Br 2.92
Au: 0.2500 0.2500 0.5000 x4  2 Sb 2.87, 2 Br 2.87, 2 Au 2.92
Br: 0.0000 0.5000 0.0000 x2  4 Au 2.87, 2 Sb 2.92



Version 2
First-principles (PBE) data for a geometry-optimized SbAu2Br structure, as listed in Alexandria.

abc: 3.9134 3.8078 7.3008
angles: 90.00 96.69 90.00
With the nearest neighbours (Å) after each atom.
Space group Pm (No. 6)
Unique sites:
Sb: 0.0000 0.0000 0.0000 x1  3 Au 2.71-2.73
Au: 0.3937 0.5000 0.8578 x1  2 Sb 2.73, 2 Au 2.78
Au: 0.6912 0.0000 0.6474 x1  2 Br 2.70, 1 Sb 2.71, 2 Au 2.78
Br: 0.6678 0.5000 0.3840 x1  2 Au 2.70



Version 3
First-principles (PBE) data for a geometry-optimized SbAu2Br structure, as listed in Alexandria.

abc: 3.1877 4.9351 5.7789
angles: 90.00 90.00 90.00
With the nearest neighbours (Å) after each atom.
Space group Pmmm (No. 47)
Unique sites:
Sb: 0.0000 0.0000 0.0000 x1  4 Br 2.94, 2 Sb 3.19
Au: 0.0000 0.5000 0.5000 x1  6 Au 2.94-3.19
Au: 0.5000 0.0000 0.5000 x1  6 Au 2.94-3.19
Br: 0.5000 0.5000 0.0000 x1  4 Sb 2.94, 2 Br 3.19



Most stable structure - version 2; separation to the second - 21.0 kJ/mol of atoms.



Version 1
First-principles (PBE) data for a geometry-optimized SbAu2Br structure, as listed in Alexandria.

abc: 4.1055 4.1055 11.0023
angles: 90.00 90.00 90.00
With the nearest neighbours (Å) after each atom.
Space group I4/mmm (No. 139)
Unique sites:
Sb: 0.0000 0.0000 0.0000 x2  4 Br 2.90
Au: 0.0000 0.5000 0.2500 x4  4 Au 2.90
Br: 0.0000 0.0000 0.5000 x2  4 Sb 2.90



Version 2
First-principles (PBE) data for a geometry-optimized SbAu2Br structure, as listed in Alexandria.

abc: 3.6334 3.6460 7.2733
angles: 90.00 90.00 90.00
With the nearest neighbours (Å) after each atom.
Space group Pmm2 (No. 25)
Unique sites:
Sb: 0.0000 0.0000 0.0000 x1  5 Au 2.75-2.88
Au: 0.0000 0.0000 0.6217 x1  1 Sb 2.75, 4 Au 2.95
Au: 0.5000 0.5000 0.8213 x1  4 Sb 2.88, 4 Au 2.95
Br: 0.5000 0.5000 0.3737 x1  5 Au 3.14-3.26



Version 3
First-principles (PBE) data for a geometry-optimized SbAu2Br structure, as listed in Alexandria.

abc: 7.1284 7.1284 7.1284
angles: 90.00 90.00 90.00
With the nearest neighbours (Å) after each atom.
Space group Fm-3m (No. 225)
Unique sites:
Sb: 0.0000 0.0000 0.0000 x4  8 Au 3.09
Au: 0.2500 0.2500 0.2500 x8  4 Sb 3.09, 4 Br 3.09
Br: 0.0000 0.0000 0.5000 x4  8 Au 3.09



Most stable structure - version 2; separation to the second - 29.4 kJ/mol of atoms.



Version 1
First-principles (PBE) data for a geometry-optimized SbAu2Br structure, as listed in Alexandria.

abc: 3.8025 6.4580 8.1568
angles: 90.00 90.00 90.00
With the nearest neighbours (Å) after each atom.
Space group Cmmm (No. 65)
Unique sites:
Sb: 0.0000 0.0000 0.0000 x2  4 Au 2.75
Au: 0.0000 0.5000 0.2438 x4  2 Sb 2.75, 2 Br 2.83
Br: 0.0000 0.0000 0.5000 x2  4 Au 2.83



Version 2
First-principles (PBE) data for a geometry-optimized SbAu2Br structure, as listed in Alexandria.

abc: 3.9176 3.9176 21.9097
angles: 90.00 90.00 120.00
With the nearest neighbours (Å) after each atom.
Space group R-3m (No. 166, hexagonal axes)
Unique sites:
Sb: 0.0000 0.0000 0.0000 x3  6 Au 2.81
Au: 0.0000 0.0000 0.2570 x6  3 Sb 2.81, 3 Br 3.01
Br: 0.0000 0.0000 0.5000 x3  6 Au 3.01



Version 3
First-principles (PBE) data for a geometry-optimized SbAu2Br structure, as listed in Alexandria.

abc: 5.6715 8.4586 3.8867
angles: 90.00 90.00 90.00
With the nearest neighbours (Å) after each atom.
Space group Cmmm (No. 65)
Unique sites:
Sb: 0.0000 0.0000 0.0000 x2  2 Br 2.84
Au: 0.2500 0.2500 0.5000 x4  2 Au 2.84
Br: 0.0000 0.5000 0.0000 x2  2 Sb 2.84



Most stable structure - version 2; separation to the second - 16.3 kJ/mol of atoms.



Version 1
First-principles (PBE) data for a geometry-optimized SbAu2Br structure, as listed in Alexandria.

abc: 8.9618 3.9605 6.5146
angles: 90.00 99.41 90.00
With the nearest neighbours (Å) after each atom.
Space group Cm (No. 8)
Unique sites:
Sb: 0.0000 0.0000 0.0000 x2  5 Au 2.77-2.87
Au: 0.2253 0.5000 0.1415 x2  3 Sb 2.77-2.87, 3 Au 2.80-2.89
Au: 0.4512 0.0000 0.2962 x2  1 Br 2.61, 3 Au 2.80-2.89, 2 Sb 2.85
Br: 0.3519 0.0000 0.6519 x2  1 Au 2.61



Version 2
First-principles (PBE) data for a geometry-optimized SbAu2Br structure, as listed in Alexandria.

abc: 3.7189 5.8190 10.7303
angles: 90.00 90.00 90.00
With the nearest neighbours (Å) after each atom.
Space group Imm2 (No. 44)
Unique sites:
Sb: 0.0000 0.0000 0.0000 x2  2 Au 2.66, 2 Br 2.98
Au: 0.0000 0.0000 0.3579 x2  2 Au 2.68, 2 Br 2.86
Au: 0.0000 0.5000 0.6779 x2  2 Sb 2.66, 2 Au 2.68
Br: 0.0000 0.5000 0.0602 x2  2 Au 2.86, 2 Sb 2.98



Most stable structure - version 1; separation to the second - 16.8 kJ/mol of atoms.



Version 1
First-principles (PBE) data for a geometry-optimized SbAu2Br structure, as listed in Alexandria.

abc: 12.3656 3.2396 5.0580
angles: 90.00 113.99 90.00
With the nearest neighbours (Å) after each atom.
Space group C2/m (No. 12)
Unique sites:
Sb: 0.0000 0.0000 0.0000 x2  4 Au 2.97, 4 Br 3.00, 2 Sb 3.24
Au: 0.2206 0.5000 0.2208 x4  2 Sb 2.97, 6 Au 3.08-3.24
Br: 0.0000 0.5000 0.5000 x2  4 Sb 3.00, 2 Br 3.24



Version 2
First-principles (PBE) data for a geometry-optimized SbAu2Br structure, as listed in Alexandria.

abc: 6.7000 6.7000 11.0304
angles: 90.00 90.00 90.00
With the nearest neighbours (Å) after each atom.
Space group I-42d (No. 122)
Unique sites:
Sb: 0.0000 0.0000 0.0000 x4  4 Au 2.64
Au: 0.2242 0.2500 0.1250 x8  2 Sb 2.64, 2 Br 2.85
Br: 0.0000 0.0000 0.5000 x4  4 Au 2.85



Version 3
First-principles (PBE) data for a geometry-optimized SbAu2Br structure, as listed in Alexandria.

abc: 4.6484 4.6484 8.3118
angles: 90.00 90.00 90.00
With the nearest neighbours (Å) after each atom.
Space group I-4m2 (No. 119)
Unique sites:
Sb: 0.0000 0.0000 0.0000 x2  4 Br 3.12, 8 Au 3.12-3.29
Au: 0.0000 0.0000 0.5000 x2  4 Br 3.12, 4 Au 3.12, 4 Sb 3.29
Au: 0.0000 0.5000 0.7500 x2  4 Sb 3.12, 4 Au 3.12, 4 Br 3.29
Br: 0.0000 0.5000 0.2500 x2  4 Sb 3.12, 8 Au 3.12-3.29



Version 4
First-principles (PBE) data for a geometry-optimized SbAu2Br structure, as listed in Alexandria.

abc: 3.4602 3.4602 7.6376
angles: 90.00 90.00 90.00
With the nearest neighbours (Å) after each atom.
Space group P4/mmm (No. 123)
Unique sites:
Sb: 0.0000 0.0000 0.0000 x1  8 Au 2.99
Au: 0.5000 0.5000 0.2261 x2  4 Sb 2.99, 4 Br 3.22
Br: 0.0000 0.0000 0.5000 x1  8 Au 3.22, 4 Br 3.46



Most stable structure - version 2; separation to the second - 13.0 kJ/mol of atoms.



Version 1
First-principles (PBE) data for a geometry-optimized Sb2AuBr8 structure, as listed in Alexandria.

abc: 13.3763 9.7669 8.0058
angles: 90.00 113.22 90.00
With the nearest neighbours (Å) after each atom.
Space group C2/m (No. 12)
Unique sites:
Sb: 0.1426 0.0000 0.1106 x4  3 Br 2.53-2.62
Au: 0.0000 0.0000 0.5000 x2  2 Br 2.48
Br: 0.0938 0.1954 0.2897 x8  1 Sb 2.62
Br: 0.1532 0.5000 0.7194 x4  1 Sb 2.53
Br: 0.1840 0.0000 0.7494 x4  1 Au 2.48



Version 2
First-principles (PBE) data for a geometry-optimized Sb2AuBr8 structure, as listed in Alexandria.

abc: 13.3219 6.8567 11.3215
angles: 90.00 117.71 90.00
With the nearest neighbours (Å) after each atom.
Space group C2/m (No. 12)
Unique sites:
Sb: 0.1054 0.0000 0.4016 x4  5 Br 2.77-2.95
Au: 0.0000 0.0000 0.0000 x2  4 Br 2.58
Br: 0.0579 0.2541 0.1880 x8  1 Au 2.58, 1 Sb 2.80
Br: 0.1288 0.0000 0.6735 x4  2 Sb 2.83-2.95
Br: 0.1633 0.5000 0.5128 x4  1 Sb 2.77



Most stable structure - version 2; separation to the second - 1.8 kJ/mol of atoms.